#i
Density functional theory data (PBE-GGA) for a relaxed structure of TcGeIO2.

a b c (Å): 3.826 3.826 6.535
angles (deg): 90.00 90.00 90.00
Fractional positions:
I  0.000  0.000  0.500
Ge  0.000  0.000  0.000
Tc  0.500  0.500  0.500
O  0.000  0.500  0.000
O  0.500  0.000  0.000

***

#ii
Density functional theory data (PBE-GGA) for a relaxed structure of TcGeIO2.

a b c (Å): 3.913 3.913 6.135
angles (deg): 90.00 90.00 90.00
Fractional positions:
I  0.000  0.000  0.500
Ge  0.500  0.500  0.500
Tc  0.000  0.000  0.000
O  0.000  0.500  0.000
O  0.500  0.000  0.000

***

Last place for stability: #i

***

#i
Density functional theory data (PBE-GGA) for a relaxed structure of GeTe2IO.

a b c (Å): 4.510 4.510 6.510
angles (deg): 90.00 90.00 90.00
Fractional positions:
I  0.000  0.000  0.500
Ge  0.500  0.500  0.500
Te  0.000  0.500  0.000
Te  0.500  0.000  0.000
O  0.000  0.000  0.000

***

#ii
Density functional theory data (PBE-GGA) for a relaxed structure of GeTe2IO.

a b c (Å): 5.422 5.422 5.503
angles (deg): 90.00 90.00 90.00
Fractional positions:
I  0.000  0.000  0.500
Ge  0.000  0.000  0.000
Te  0.000  0.500  0.000
Te  0.500  0.000  0.000
O  0.500  0.500  0.500

***

Last place for stability: #ii

***

#i
Density functional theory data (PBE-GGA) for a relaxed structure of GeTeIO2.

a b c (Å): 4.016 4.016 6.879
angles (deg): 90.00 90.00 90.00
Fractional positions:
I  0.000  0.000  0.500
Ge  0.000  0.000  0.000
Te  0.500  0.500  0.500
O  0.000  0.500  0.000
O  0.500  0.000  0.000

***

#ii
Density functional theory data (PBE-GGA) for a relaxed structure of GeTeIO2.

a b c (Å): 4.133 4.133 7.585
angles (deg): 90.00 90.00 90.00
Fractional positions:
I  0.000  0.000  0.500
Ge  0.500  0.500  0.500
Te  0.000  0.000  0.000
O  0.000  0.500  0.000
O  0.500  0.000  0.000

***

Last place for stability: #i

***

#i
Density functional theory data (PBE-GGA) for a relaxed structure of TiGeI2O.

a b c (Å): 5.752 5.752 3.753
angles (deg): 90.00 90.00 90.00
Fractional positions:
I  0.000  0.500  0.000
I  0.500  0.000  0.000
Ge  0.500  0.500  0.500
O  0.000  0.000  0.500
Ti  0.000  0.000  0.000

***

#ii
Density functional theory data (PBE-GGA) for a relaxed structure of TiGeI2O.

a b c (Å): 5.831 5.831 3.747
angles (deg): 90.00 90.00 90.00
Fractional positions:
I  0.000  0.500  0.000
I  0.500  0.000  0.000
Ge  0.000  0.000  0.000
O  0.000  0.000  0.500
Ti  0.500  0.500  0.500

***

Last place for stability: #ii

***

#i
Density functional theory data (PBE-GGA) for a relaxed structure of TlGeI2O.

a b c (Å): 5.706 5.869 5.706
angles (deg): 90.00 90.00 90.00
Fractional positions:
I  0.000  0.000  0.500
I  0.500  0.000  0.000
Tl  0.000  0.500  0.000
Ge  0.000  0.000  0.000
O  0.500  0.500  0.500

***

#ii
Density functional theory data (PBE-GGA) for a relaxed structure of TlGeI2O.

a b c (Å): 6.172 6.172 4.097
angles (deg): 90.00 90.00 90.00
Fractional positions:
I  0.000  0.500  0.000
I  0.500  0.000  0.000
Tl  0.000  0.000  0.000
Ge  0.500  0.500  0.500
O  0.000  0.000  0.500

***

Last place for stability: #i

***

#i
Density functional theory data (PBE-GGA) for a relaxed structure of TlGeIO2.

a b c (Å): 4.162 4.162 5.834
angles (deg): 90.00 90.00 90.00
Fractional positions:
I  0.000  0.000  0.500
Tl  0.500  0.500  0.500
Ge  0.000  0.000  0.000
O  0.000  0.500  0.000
O  0.500  0.000  0.000

***

#ii
Density functional theory data (PBE-GGA) for a relaxed structure of TlGeIO2.

a b c (Å): 4.314 4.314 6.216
angles (deg): 90.00 90.00 90.00
Fractional positions:
I  0.000  0.000  0.500
Tl  0.000  0.000  0.000
Ge  0.500  0.500  0.500
O  0.000  0.500  0.000
O  0.500  0.000  0.000

***

Last place for stability: #ii